[1]
## Sc3NbS (PBE)

Data for an optimized crystal structure of Sc3NbS.

Geometry as POSCAR:
```
Sc3NbS
1.0
5.075 0.000 0.000
0.000 5.075 0.000
0.000 0.000 5.075
Sc Nb S
3 1 1
Direct
0.000 0.000 0.500
0.000 0.500 0.000
0.500 0.000 0.000
0.000 0.000 0.000
0.500 0.500 0.500
```

Values from the calculation:
Fermi-level density of states = 6.0 states/eV/f.u.
Formation energy without anion corrections = 0.59 eV per atom
Energy above the most stable polymorph in this dataset = 4.573 eV per formula unit

[2]
## La5PuSn5 (PBE)

Data for an optimized crystal structure of La5PuSn5.

Geometry as POSCAR:
```
La5PuSn5
1.0
7.383 -3.231 0.000
7.383 3.231 0.000
-2.789 0.000 8.496
La Pu Sn
5 1 5
Direct
0.000 0.000 0.000
0.326 0.326 0.169
0.333 0.333 0.669
0.667 0.667 0.331
0.674 0.674 0.831
0.000 0.000 0.500
0.158 0.158 0.339
0.160 0.160 0.827
0.500 0.500 0.500
0.840 0.840 0.173
0.842 0.842 0.661
```

Values from the calculation:
Fermi-level density of states = 20.5 states/eV/f.u.
Formation energy from the elements = -416.8 meV per atom